# 1
Computed, not measured: an optimized crystal structure of AcLa4Sm at the PBE level of DFT.

CIF file:
```
data_AcLa4Sm
_symmetry_space_group_name_H-M 'C 1 2/m 1'
_symmetry_Int_Tables_number 12
_cell_length_a 12.1396
_cell_length_b 3.6066
_cell_length_c 12.0955
_cell_angle_alpha 90.00
_cell_angle_beta 119.77
_cell_angle_gamma 90.00
loop_
_symmetry_equiv_pos_as_xyz
'x,y,z'
'-x,-y,-z'
'-x,y,-z'
'x,-y,z'
'x+1/2,y+1/2,z'
'-x+1/2,-y+1/2,-z'
'-x+1/2,y+1/2,-z'
'x+1/2,-y+1/2,z'
loop_
_atom_site_label
_atom_site_fract_x
_atom_site_fract_y
_atom_site_fract_z
Ac1 0.0000 0.0000 0.0000
La1 0.1839 0.0000 0.8357
La2 0.1872 0.0000 0.3481
Sm1 0.0000 0.0000 0.5000
```

- DFT formation energy (eV/atom) = 0.168
- D(E_F) (states/eV per cell) = 24.54
- crystal system = monoclinic



# 2
Computed, not measured: an optimized crystal structure of Ta2BeRe at the PBE level of DFT.

CIF file:
```
data_Ta2BeRe
_symmetry_space_group_name_H-M 'P 4 m m'
_symmetry_Int_Tables_number 99
_cell_length_a 2.7563
_cell_length_b 2.7563
_cell_length_c 7.9769
_cell_angle_alpha 90.00
_cell_angle_beta 90.00
_cell_angle_gamma 90.00
loop_
_symmetry_equiv_pos_as_xyz
'x,y,z'
'-y,x,z'
'-x,-y,z'
'y,-x,z'
'-x,y,z'
'y,x,z'
'x,-y,z'
'-y,-x,z'
loop_
_atom_site_label
_atom_site_fract_x
_atom_site_fract_y
_atom_site_fract_z
Ta1 0.0000 0.0000 0.0000
Ta2 0.5000 0.5000 0.3004
Be1 0.0000 0.0000 0.5254
Re1 0.5000 0.5000 0.7186
```

- DFT formation energy (eV/atom) = 0.150
- D(E_F) (states/eV per cell) = 4.54
- crystal system = tetragonal



# 3
Computed, not measured: an optimized crystal structure of NaBe3Se at the PBE level of DFT.

CIF file:
```
data_NaBe3Se
_symmetry_space_group_name_H-M 'P m -3 m'
_symmetry_Int_Tables_number 221
_symmetry_space_group_name_Hall '-P 4 2 3'
_cell_length_a 4.5908
_cell_length_b 4.5908
_cell_length_c 4.5908
_cell_angle_alpha 90.00
_cell_angle_beta 90.00
_cell_angle_gamma 90.00
loop_
_atom_site_label
_atom_site_fract_x
_atom_site_fract_y
_atom_site_fract_z
Na1 0.0000 0.0000 0.0000
Be1 0.0000 0.0000 0.5000
Se1 0.5000 0.5000 0.5000
```

- E_form (uncorrected) (eV per formula unit) = 9.002
- D(E_F) (states/eV per cell) = 2.42
- crystal system = cubic



# 4
Computed, not measured: an optimized crystal structure of SrAsPd2Au2 at the PBE level of DFT.

CIF file:
```
data_SrAsPd2Au2
_symmetry_space_group_name_H-M 'P 4/m m m'
_symmetry_Int_Tables_number 123
_symmetry_space_group_name_Hall '-P 4 2'
_cell_length_a 4.7564
_cell_length_b 4.7564
_cell_length_c 5.9944
_cell_angle_alpha 90.00
_cell_angle_beta 90.00
_cell_angle_gamma 90.00
loop_
_atom_site_label
_atom_site_fract_x
_atom_site_fract_y
_atom_site_fract_z
Sr1 0.0000 0.0000 0.0000
As1 0.0000 0.0000 0.5000
Pd1 0.0000 0.5000 0.5000
Au1 0.5000 0.5000 0.2275
```

- DFT formation energy (eV/atom) = -0.401
- D(E_F) (states/eV per cell) = 4.90
- crystal system = tetragonal



# 5
Computed, not measured: an optimized crystal structure of Nb3CrPt at the PBE level of DFT.

CIF file:
```
data_Nb3CrPt
_symmetry_space_group_name_H-M 'P m -3 m'
_symmetry_Int_Tables_number 221
_symmetry_space_group_name_Hall '-P 4 2 3'
_cell_length_a 4.9024
_cell_length_b 4.9024
_cell_length_c 4.9024
_cell_angle_alpha 90.00
_cell_angle_beta 90.00
_cell_angle_gamma 90.00
loop_
_atom_site_label
_atom_site_fract_x
_atom_site_fract_y
_atom_site_fract_z
Nb1 0.0000 0.0000 0.5000
Cr1 0.5000 0.5000 0.5000
Pt1 0.0000 0.0000 0.0000
```

- DFT formation energy (eV/atom) = 1.278
- D(E_F) (states/eV per cell) = 6.70
- crystal system = cubic



# 6
Computed, not measured: an optimized crystal structure of Th3BiC2 at the PBE level of DFT.

CIF file:
```
data_Th3BiC2
_symmetry_space_group_name_H-M 'P 1 21/m 1'
_symmetry_Int_Tables_number 11
_cell_length_a 5.1595
_cell_length_b 4.4270
_cell_length_c 13.6196
_cell_angle_alpha 90.00
_cell_angle_beta 93.53
_cell_angle_gamma 90.00
loop_
_symmetry_equiv_pos_as_xyz
'x,y,z'
'-x,-y,-z'
'-x,y+1/2,-z'
'x,-y+1/2,z'
loop_
_atom_site_label
_atom_site_fract_x
_atom_site_fract_y
_atom_site_fract_z
Th1 0.1523 0.2500 0.2570
Th2 0.2166 0.2500 0.9395
Th3 0.2644 0.7500 0.5082
Bi1 0.3582 0.2500 0.7052
C1 0.0178 0.7500 0.9134
C2 0.1664 0.2500 0.4365
```

- DFT formation energy (eV/atom) = -0.281
- D(E_F) (states/eV per cell) = 4.43
- crystal system = monoclinic



# 7
Computed, not measured: an optimized crystal structure of CaHgAu3 at the PBE level of DFT.

CIF file:
```
data_CaHgAu3
_symmetry_space_group_name_H-M 'P m -3 m'
_symmetry_Int_Tables_number 221
_symmetry_space_group_name_Hall '-P 4 2 3'
_cell_length_a 5.2340
_cell_length_b 5.2340
_cell_length_c 5.2340
_cell_angle_alpha 90.00
_cell_angle_beta 90.00
_cell_angle_gamma 90.00
loop_
_atom_site_label
_atom_site_fract_x
_atom_site_fract_y
_atom_site_fract_z
Ca1 0.0000 0.0000 0.0000
Hg1 0.5000 0.5000 0.5000
Au1 0.0000 0.5000 0.5000
```

- DFT formation energy (eV/atom) = 0.057
- D(E_F) (states/eV per cell) = 2.00
- crystal system = cubic



# 8
Computed, not measured: an optimized crystal structure of Pr12Tm5Th at the PBE level of DFT.

CIF file:
```
data_Pr12Tm5Th
_symmetry_space_group_name_H-M 'C m m m'
_symmetry_Int_Tables_number 65
_symmetry_space_group_name_Hall '-C 2 2'
_cell_length_a 15.4624
_cell_length_b 15.4794
_cell_length_c 5.1674
_cell_angle_alpha 90.00
_cell_angle_beta 90.00
_cell_angle_gamma 90.00
loop_
_atom_site_label
_atom_site_fract_x
_atom_site_fract_y
_atom_site_fract_z
Pr1 0.0000 0.1617 0.0000
Pr2 0.0000 0.3372 0.5000
Pr3 0.1664 0.1630 0.5000
Pr4 0.1657 0.3362 0.0000
Tm1 0.0000 0.0000 0.5000
Tm2 0.1634 0.5000 0.5000
Tm3 0.1678 0.0000 0.0000
Th1 0.0000 0.5000 0.0000
```

- DFT formation energy (eV/atom) = 0.032
- D(E_F) (states/eV per cell) = 57.66
- crystal system = orthorhombic